Entry 1:
## Ba2CeTcN4 (PBE)

Data for a geometry-optimized Ba2CeTcN4 structure.

Computed properties:
For the size of the total moment, the calculation gives 0.7 μB per cell. For the density, the calculation gives 6.22 g/cm3. The value obtained for the total energy is -58.32 eV for the cell shown.

Cell: 5.880 5.880 5.880 Å, 97.89 115.55 115.55°
Site moments in Bohr magnetons follow the coordinates.
Sites, in units of the cell vectors:
Ce 0.500 0.250 0.750  0.38
Ba 0.500 0.750 0.250  0.01
Tc 0.000 0.500 0.500  0.14
N 0.932 0.561 0.170  -0.01
N 0.391 0.830 0.762  -0.01
Ba 0.000 0.000 0.000  0.03
N 0.609 0.371 0.439  -0.01
N 0.068 0.238 0.629  -0.01


Entry 2:
## As2PPt (PBE)

Data for a geometry-optimized As2PPt structure.

Computed properties:
As for the calculated formation energy: 0.163 eV/atom. For the size of the total moment, the calculation gives 0.0 μB per cell. For the density, the calculation gives 7.97 g/cm3. The value obtained for the total energy is -20.10 eV for the cell shown.

Cell: 5.892 5.892 5.892 Å, 143.69 139.36 55.62°
Sites, in units of the cell vectors:
As 0.078 0.078 0.000
As 0.756 0.256 0.500
Pt 0.254 0.754 0.500
P 0.412 0.412 0.000


Entry 3:
## UCl4F (PBE)

Data for a geometry-optimized UCl4F structure.

Computed properties:
For the size of the total moment, the calculation gives 1.0 μB per cell. For the density, the calculation gives 3.23 g/cm3. The value obtained for the total energy is -32.63 eV for the cell shown.

Cell: 4.510 7.111 7.111 Å, 84.23 71.51 71.51°
Site moments in Bohr magnetons follow the coordinates.
Sites, in units of the cell vectors:
F 0.442 0.000 0.000  -0.01
Cl 0.883 0.312 0.806  -0.04
U 0.943 0.000 0.000  1.15
Cl 0.002 0.688 0.194  -0.04
Cl 0.689 0.194 0.312  -0.04
Cl 0.196 0.806 0.688  -0.04


Entry 4:
## Mn2NiS (PBE)

Data for a geometry-optimized Mn2NiS structure.

Computed properties:
For the size of the total moment, the calculation gives 8.8 μB per cell. For the density, the calculation gives 6.67 g/cm3. The value obtained for the total energy is -55.31 eV for the cell shown.

Cell: 6.433 6.433 5.150 Å, 51.35 51.35 90.00°
Site moments in Bohr magnetons follow the coordinates.
Sites, in units of the cell vectors:
Mn 0.375 0.411 0.750  2.18
Ni 0.750 0.250 0.500  0.02
S 0.500 0.500 0.000  -0.07
Mn 0.875 0.839 0.750  2.18
Mn 0.161 0.625 0.250  2.18
Mn 0.589 0.125 0.250  2.18
Ni 0.000 0.000 0.000  0.02
S 0.250 0.750 0.500  -0.07


Entry 5:
## Zr2Ti5Ir2Pd (PBE)

Data for a geometry-optimized Zr2Ti5Ir2Pd structure.

Computed properties:
As for the calculated formation energy: -0.461 eV/atom. For the size of the total moment, the calculation gives 0.0 μB per cell. For the density, the calculation gives 8.37 g/cm3. The value obtained for the total energy is -168.20 eV for the cell shown.

Cell: 3.149 10.724 10.724 Å, 90.00 90.00 90.00°
Sites, in units of the cell vectors:
Zr 0.000 0.676 0.176
Pd 0.000 0.000 0.000
Ir 0.000 0.633 0.867
Ir 0.000 0.867 0.367
Ti 0.500 0.052 0.801
Ti 0.500 0.199 0.052
Ti 0.500 0.801 0.948
Pd 0.000 0.500 0.500
Ti 0.500 0.500 0.000
Zr 0.000 0.324 0.824
Ti 0.500 0.552 0.699
Ti 0.500 0.948 0.199
Ti 0.500 0.448 0.301
Ir 0.000 0.367 0.133
Ir 0.000 0.133 0.633
Ti 0.500 0.301 0.552
Ti 0.500 0.699 0.448
Zr 0.000 0.176 0.324
Ti 0.500 0.000 0.500
Zr 0.000 0.824 0.676


Entry 6:
## Tc2Ir2Ru (PBE)

Data for a geometry-optimized Tc2Ir2Ru structure.

Computed properties:
As for the calculated formation energy: 0.232 eV/atom. For the energy relative to the lowest polymorph listed for this composition, the calculation gives 0.0657 eV per atom. For the size of the total moment, the calculation gives 0.0 μB per cell. For the density, the calculation gives 14.79 g/cm3. The value obtained for the total energy is -46.57 eV for the cell shown.

Cell: 4.119 4.783 4.783 Å, 75.38 64.50 64.50°
Sites, in units of the cell vectors:
Ir 0.200 0.300 0.300
Ru 0.000 0.000 0.000
Tc 0.500 0.293 0.707
Ir 0.800 0.700 0.700
Tc 0.500 0.707 0.293


Entry 7:
## Hf3TiBr (PBE)

Data for a geometry-optimized Hf3TiBr structure.

Computed properties:
For the energy relative to the lowest polymorph listed for this composition, the calculation gives 0.3484 eV per atom. For the size of the total moment, the calculation gives 0.0 μB per cell. For the density, the calculation gives 8.67 g/cm3. The value obtained for the total energy is -34.50 eV for the cell shown.

Cell: 5.027 5.027 5.027 Å, 90.00 90.00 90.00°
Sites, in units of the cell vectors:
Hf 0.500 0.000 0.000
Hf 0.000 0.500 0.000
Hf 0.000 0.000 0.500
Ti 0.000 0.000 0.000
Br 0.500 0.500 0.500


Entry 8:
## BeFe2Cl (PBE)

Data for a geometry-optimized BeFe2Cl structure.

Computed properties:
For the energy relative to the lowest polymorph listed for this composition, the calculation gives 0.4523 eV per atom. For the size of the total moment, the calculation gives 5.0 μB per cell. For the density, the calculation gives 5.07 g/cm3. The value obtained for the total energy is -20.35 eV for the cell shown.

Cell: 4.826 4.826 4.826 Å, 147.11 121.88 68.42°
Site moments in Bohr magnetons follow the coordinates.
Sites, in units of the cell vectors:
Fe 0.504 0.504 0.000  2.53
Cl 0.250 0.750 0.500  0.12
Be 0.750 0.250 0.500  -0.10
Fe 0.996 0.996 0.000  2.53


Entry 9:
## Rb3Pr (PBE)

Data for a geometry-optimized Rb3Pr structure.

Computed properties:
As for the calculated formation energy: 0.589 eV/atom. For the energy relative to the lowest polymorph listed for this composition, the calculation gives 0.0169 eV per atom. For the size of the total moment, the calculation gives 2.4 μB per cell. For the density, the calculation gives 2.45 g/cm3. The value obtained for the total energy is -5.33 eV for the cell shown.

Cell: 7.245 7.245 7.245 Å, 60.00 60.00 60.00°
Site moments in Bohr magnetons follow the coordinates.
Sites, in units of the cell vectors:
Rb 0.250 0.250 0.250  0.02
Rb 0.500 0.500 0.500  0.02
Pr 0.000 0.000 0.000  0.71
Rb 0.750 0.750 0.750  0.02


Entry 10:
## TiPWCl2 (PBE)

Data for a geometry-optimized TiPWCl2 structure.

Computed properties:
For the energy relative to the lowest polymorph listed for this composition, the calculation gives 0.0000 eV per atom. For the size of the total moment, the calculation gives 4.6 μB per cell. For the density, the calculation gives 5.11 g/cm3. The value obtained for the total energy is -27.22 eV for the cell shown.

Cell: 4.527 4.527 5.287 Å, 90.00 90.00 90.00°
Site moments in Bohr magnetons follow the coordinates.
Sites, in units of the cell vectors:
P 0.000 0.000 0.500  -0.14
W 0.500 0.500 0.500  3.20
Ti 0.000 0.000 0.000  0.39
Cl 0.500 0.000 0.000  0.02
Cl 0.000 0.500 0.000  0.02


Entry 11:
## UAg2AsSe4 (PBE)

Data for a geometry-optimized UAg2AsSe4 structure.

Computed properties:
For the size of the total moment, the calculation gives 5.8 μB per cell. For the density, the calculation gives 6.51 g/cm3. The value obtained for the total energy is -75.67 eV for the cell shown.

Cell: 5.596 9.409 8.180 Å, 90.00 90.00 90.00°
Site moments in Bohr magnetons follow the coordinates.
Sites, in units of the cell vectors:
Ag 0.948 0.661 0.305  0.00
U 0.419 0.841 0.500  2.58
Se 0.941 0.367 0.748  -0.02
As 0.975 0.203 0.500  0.08
Ag 0.448 0.339 0.195  0.00
U 0.919 0.159 0.000  2.58
Se 0.941 0.367 0.252  -0.02
Ag 0.448 0.339 0.805  0.00
Ag 0.948 0.661 0.695  0.00
Se 0.920 0.890 0.500  -0.05
Se 0.407 0.155 0.500  -0.02
Se 0.907 0.845 0.000  -0.02
Se 0.441 0.633 0.752  -0.02
Se 0.441 0.633 0.248  -0.02
As 0.475 0.797 0.000  0.08
Se 0.420 0.110 0.000  -0.05


no.,V (Å³ per cell)
1,151.9
2,78.3
3,205.1
4,99.9
5,362.1
6,76.5
7,127.0
8,51.1
9,269.0
10,108.4
11,430.7